No. 1
First-principles (PBE) data for crystalline ReIrOs4 at its relaxed geometry, as listed in Alexandria.

Values from the calculation:
Calculated volume = 92.5 Å³ per cell
ΔE_f = 0.773 eV/atom
E_tot = -10.265 eV per atom
Offset from the most stable computed form = 253 kJ/mol of formula units
Space group = F-43m
Magnetic moment = 0.000 μB per cell

Cell: 5.077 5.077 5.077 Å, 60.00 60.00 60.00°
Fractional positions:
1 Re 0.000 0.000 0.000
2 Ir 0.250 0.250 0.250
3 Os 0.126 0.625 0.625
4 Os 0.625 0.126 0.625
5 Os 0.625 0.625 0.126
6 Os 0.625 0.625 0.625



No. 2
First-principles (PBE) data for crystalline KSrAs2 at its relaxed geometry, as listed in Alexandria.

Values from the calculation:
Calculated volume = 140.7 Å³ per cell
ΔE_f = -0.151 eV/atom
E_tot = -3.171 eV per atom
Offset from the most stable computed form = 214 kJ/mol of formula units
Space group = P4/mmm
Magnetic moment = 2.681 μB per cell

Cell: 4.629 4.629 6.565 Å, 90.00 90.00 90.00°
Fractional positions:
1 K 0.000 0.000 0.000
2 Sr 0.500 0.500 0.500
3 As 0.000 0.000 0.500
4 As 0.500 0.500 0.000



No. 3
First-principles (PBE) data for crystalline Dy4NiHg2 at its relaxed geometry, as listed in Alexandria.

Values from the calculation:
Calculated volume = 197.4 Å³ per cell
ΔE_f = -0.218 eV/atom
E_tot = -3.760 eV per atom
Offset from the most stable computed form = 39 kJ/mol of formula units
Space group = I4/mmm
Magnetic moment = 0.000 μB per cell

Cell: 8.379 8.379 8.379 Å, 144.50 144.50 51.08°
Fractional positions:
1 Dy 0.000 0.500 0.500
2 Dy 0.181 0.181 0.000
3 Dy 0.500 0.000 0.500
4 Dy 0.819 0.819 0.000
5 Ni 0.000 0.000 0.000
6 Hg 0.376 0.376 0.000
7 Hg 0.624 0.624 0.000



No. 4
First-principles (PBE) data for crystalline ReRuAu at its relaxed geometry, as listed in Alexandria.

Values from the calculation:
Calculated volume = 47.1 Å³ per cell
ΔE_f = 0.168 eV/atom
E_tot = -8.166 eV per atom
Offset from the most stable computed form = 0 kJ/mol of formula units
Space group = P3m1
Magnetic moment = 0.000 μB per cell

Cell: 2.785 2.785 7.017 Å, 90.00 90.00 120.00°
Fractional positions:
1 Re 0.000 0.000 0.000
2 Ru 0.667 0.333 0.288
3 Au 0.333 0.667 0.642



No. 5
First-principles (PBE) data for crystalline Ba11Cd6Sb12 at its relaxed geometry, as listed in Alexandria.

Values from the calculation:
Calculated volume = 1086.2 Å³ per cell
E_form (uncorrected) = -838 meV per atom
E_tot = -3.463 eV per atom
Space group = C2/m
Magnetic moment = 0.000 μB per cell

Cell: 17.489 17.489 13.390 Å, 109.58 109.58 16.37°
Fractional positions:
1 Ba 0.000 0.000 0.000
2 Ba 0.018 0.018 0.679
3 Ba 0.113 0.113 0.509
4 Ba 0.126 0.126 0.020
5 Ba 0.200 0.200 0.347
6 Ba 0.280 0.280 0.135
7 Ba 0.720 0.720 0.865
8 Ba 0.800 0.800 0.653
9 Ba 0.874 0.874 0.980
10 Ba 0.887 0.887 0.491
11 Ba 0.982 0.982 0.321
12 Cd 0.218 0.218 0.671
13 Cd 0.401 0.401 0.254
14 Cd 0.454 0.454 0.760
15 Cd 0.546 0.546 0.240
16 Cd 0.599 0.599 0.746
17 Cd 0.782 0.782 0.329
18 Sb 0.087 0.087 0.236
19 Sb 0.147 0.147 0.783
20 Sb 0.293 0.293 0.856
21 Sb 0.308 0.308 0.457
22 Sb 0.453 0.453 0.120
23 Sb 0.458 0.458 0.494
24 Sb 0.542 0.542 0.506
25 Sb 0.547 0.547 0.880
26 Sb 0.692 0.692 0.543
27 Sb 0.707 0.707 0.144
28 Sb 0.853 0.853 0.217
29 Sb 0.913 0.913 0.764



No. 6
First-principles (PBE) data for crystalline PmCu4Au at its relaxed geometry, as listed in Alexandria.

Values from the calculation:
Calculated volume = 93.9 Å³ per cell
ΔE_f = -0.290 eV/atom
E_tot = -4.359 eV per atom
Space group = F-43m
Magnetic moment = 0.000 μB per cell

Cell: 5.103 5.103 5.103 Å, 60.00 60.00 60.00°
Fractional positions:
1 Pm 0.000 0.000 0.000
2 Cu 0.129 0.624 0.624
3 Cu 0.624 0.129 0.624
4 Cu 0.624 0.624 0.129
5 Cu 0.624 0.624 0.624
6 Au 0.250 0.250 0.250



Question: Which value of magnetic moment does entry 6 give?
Answer: 0.000 μB per cell



Question: Among the records above, which one has the highest magnetic moment?
Answer: KSrAs2



Copy entry 6 word for word.
First-principles (PBE) data for crystalline PmCu4Au at its relaxed geometry, as listed in Alexandria.

Values from the calculation:
Calculated volume = 93.9 Å³ per cell
ΔE_f = -0.290 eV/atom
E_tot = -4.359 eV per atom
Space group = F-43m
Magnetic moment = 0.000 μB per cell

Cell: 5.103 5.103 5.103 Å, 60.00 60.00 60.00°
Fractional positions:
1 Pm 0.000 0.000 0.000
2 Cu 0.129 0.624 0.624
3 Cu 0.624 0.129 0.624
4 Cu 0.624 0.624 0.129
5 Cu 0.624 0.624 0.624
6 Au 0.250 0.250 0.250